i:
Below is a crystal of Mn2FeIr relaxed with PBEsol, with properties calculated at the SCAN level.

The calculation puts the density of states at the Fermi level at 3.57 states/eV/f.u. The calculation puts the total magnetization at 16.35 μB/cell.

The space group is Imm2 (No. 44) and the conventional cell measures 2.813, 4.136 and 8.256 Å, with angles of 90.00, 90.00 and 90.00 degrees. Symmetry generates all atoms from Mn at (0.000, 0.000, 0.000), Mn at (0.000, 0.500, 0.256), Fe at (0.000, 0.000, 0.512) and Ir at (0.000, 0.500, 0.755).

---

ii:
Below is a crystal of Mn2FeIr relaxed with PBEsol, with properties calculated at the SCAN level.

The calculation puts the density of states at the Fermi level at 2.30 states/eV/f.u. The calculation puts the total magnetization at 7.08 μB/cell.

The space group is P4/mmm (No. 123) and the conventional cell measures 2.848, 2.848 and 5.913 Å, with angles of 90.00, 90.00 and 90.00 degrees. Symmetry generates all atoms from Mn at (0.000, 0.000, 0.229), Fe at (0.500, 0.500, 0.000) and Ir at (0.500, 0.500, 0.500).

---

Order from most stable to least stable according to the calculation: ii, i

---

i:
Below is a crystal of FeMoIr2 relaxed with PBEsol, with properties calculated at the SCAN level.

The calculation puts the density of states at the Fermi level at 2.55 states/eV/f.u. The calculation puts the total magnetization at 1.76 μB/cell.

The space group is P4/mmm (No. 123) and the conventional cell measures 3.763, 3.763 and 3.760 Å, with angles of 90.00, 90.00 and 90.00 degrees. Symmetry generates all atoms from Fe at (0.000, 0.000, 0.000), Mo at (0.500, 0.500, 0.000) and Ir at (0.000, 0.500, 0.500).

---

ii:
Below is a crystal of FeMoIr2 relaxed with PBEsol, with properties calculated at the SCAN level.

The calculation puts the density of states at the Fermi level at 2.71 states/eV/f.u. The calculation puts the total magnetization at 2.73 μB/cell.

The space group is Pmmm (No. 47) and the conventional cell measures 2.708, 3.744 and 5.387 Å, with angles of 90.00, 90.00 and 90.00 degrees. Symmetry generates all atoms from Fe at (0.000, 0.000, 0.000), Mo at (0.000, 0.000, 0.500) and Ir at (0.500, 0.500, 0.242).

---

Order from most stable to least stable according to the calculation: ii, i

---

i:
Below is a crystal of FeIr2Os relaxed with PBEsol, with properties calculated at the SCAN level.

The calculation puts the density of states at the Fermi level at 2.88 states/eV/f.u. The calculation puts the total magnetization at 5.36 μB/cell.

The space group is I4/mmm (No. 139) and the conventional cell measures 3.755, 3.755 and 7.559 Å, with angles of 90.00, 90.00 and 90.00 degrees. Symmetry generates all atoms from Fe at (0.000, 0.000, 0.000), Ir at (0.000, 0.500, 0.250) and Os at (0.000, 0.000, 0.500).

---

ii:
Below is a crystal of FeIr2Os relaxed with PBEsol, with properties calculated at the SCAN level.

The calculation puts the density of states at the Fermi level at 3.73 states/eV/f.u. The calculation puts the total magnetization at 6.70 μB/cell.

The space group is Cmmm (No. 65) and the conventional cell measures 5.302, 7.503 and 2.672 Å, with angles of 90.00, 90.00 and 90.00 degrees. Symmetry generates all atoms from Fe at (0.000, 0.000, 0.000), Ir at (0.250, 0.250, 0.500) and Os at (0.000, 0.500, 0.000).

---

Order from most stable to least stable according to the calculation: i, ii

---

i:
Below is a crystal of FeIr2Os relaxed with PBEsol, with properties calculated at the SCAN level.

The calculation puts the density of states at the Fermi level at 3.05 states/eV/f.u. The calculation puts the total magnetization at 3.15 μB/cell.

The space group is P4/mmm (No. 123) and the conventional cell measures 2.691, 2.691 and 7.410 Å, with angles of 90.00, 90.00 and 90.00 degrees. Symmetry generates all atoms from Fe at (0.000, 0.000, 0.000), Ir at (0.500, 0.500, 0.244) and Os at (0.000, 0.000, 0.500).

---

ii:
Below is a crystal of FeIr2Os relaxed with PBEsol, with properties calculated at the SCAN level.

The calculation puts the density of states at the Fermi level at 2.98 states/eV/f.u. The calculation puts the total magnetization at 5.72 μB/cell.

The space group is C2/m (No. 12) and the conventional cell measures 8.840, 2.675 and 4.585 Å, with angles of 90.00, 100.21 and 90.00 degrees. Symmetry generates all atoms from Fe at (0.000, 0.000, 0.000), Ir at (0.249, 0.500, 0.247) and Os at (0.000, 0.500, 0.500).

---

Order from most stable to least stable according to the calculation: i, ii

---

i:
Below is a crystal of FeIr2Os relaxed with PBEsol, with properties calculated at the SCAN level.

The calculation puts the density of states at the Fermi level at 3.24 states/eV/f.u. The calculation puts the total magnetization at 2.57 μB/cell.

The space group is Pmm2 (No. 25) and the conventional cell measures 2.673, 3.733 and 5.327 Å, with angles of 90.00, 90.00 and 90.00 degrees. Symmetry generates all atoms from Fe at (0.000, 0.000, 0.000), Ir at (0.000, 0.000, 0.508), Ir at (0.500, 0.500, 0.238) and Os at (0.500, 0.500, 0.758).

---

ii:
Below is a crystal of FeIr2Os relaxed with PBEsol, with properties calculated at the SCAN level.

The calculation puts the density of states at the Fermi level at 3.41 states/eV/f.u. The calculation puts the total magnetization at 9.10 μB/cell.

The space group is R-3m (No. 166, hexagonal axes) and the conventional cell measures 2.6857, 2.6857 and 25.7941 Å, with angles of 90.00, 90.00 and 120.00 degrees. Symmetry generates all atoms from Fe at (0.0000, 0.0000, 0.0000), Ir at (0.0000, 0.0000, 0.2523) and Os at (0.0000, 0.0000, 0.5000).

---

Order from most stable to least stable according to the calculation: ii, i

---

i:
Below is a crystal of FeIrPt2 relaxed with PBEsol, with properties calculated at the SCAN level.

The calculation puts the density of states at the Fermi level at 2.27 states/eV/f.u. The calculation puts the total magnetization at 4.37 μB/cell.

The space group is P4/mmm (No. 123) and the conventional cell measures 3.799, 3.799 and 3.893 Å, with angles of 90.00, 90.00 and 90.00 degrees. Symmetry generates all atoms from Fe at (0.000, 0.000, 0.000), Ir at (0.500, 0.500, 0.000) and Pt at (0.000, 0.500, 0.500).

---

ii:
Below is a crystal of FeIrPt2 relaxed with PBEsol, with properties calculated at the SCAN level.

The calculation puts the density of states at the Fermi level at 3.80 states/eV/f.u. The calculation puts the total magnetization at 2.92 μB/cell.

The space group is P4mm (No. 99) and the conventional cell measures 2.703, 2.703 and 7.550 Å, with angles of 90.00, 90.00 and 90.00 degrees. Symmetry generates all atoms from Fe at (0.000, 0.000, 0.000), Ir at (0.500, 0.500, 0.224), Pt at (0.000, 0.000, 0.487) and Pt at (0.500, 0.500, 0.763).

---

Order from most stable to least stable according to the calculation: i, ii

---

i:
Below is a crystal of FeIrPt2 relaxed with PBEsol, with properties calculated at the SCAN level.

The calculation puts the density of states at the Fermi level at 3.93 states/eV/f.u. The calculation puts the total magnetization at 2.98 μB/cell.

The space group is P4/mmm (No. 123) and the conventional cell measures 2.709, 2.709 and 7.590 Å, with angles of 90.00, 90.00 and 90.00 degrees. Symmetry generates all atoms from Fe at (0.000, 0.000, 0.000), Ir at (0.000, 0.000, 0.500) and Pt at (0.500, 0.500, 0.238).

---

ii:
Below is a crystal of FeIrPt2 relaxed with PBEsol, with properties calculated at the SCAN level.

The calculation puts the density of states at the Fermi level at 4.02 states/eV/f.u. The calculation puts the total magnetization at 7.67 μB/cell.

The space group is Cm (No. 8) and the conventional cell measures 8.977, 2.704 and 4.698 Å, with angles of 90.00, 100.82 and 90.00 degrees. Symmetry generates all atoms from Fe at (0.000, 0.000, 0.000), Ir at (0.260, 0.000, 0.754), Pt at (0.006, 0.500, 0.509) and Pt at (0.247, 0.500, 0.241).

---

iii:
Below is a crystal of FeIrPt2 relaxed with PBEsol, with properties calculated at the SCAN level.

The calculation puts the density of states at the Fermi level at 3.11 states/eV/f.u. The calculation puts the total magnetization at 12.88 μB/cell.

The space group is Fm-3m (No. 225) and the conventional cell measures 6.118, 6.118 and 6.118 Å, with angles of 90.00, 90.00 and 90.00 degrees. Symmetry generates all atoms from Fe at (0.000, 0.000, 0.000), Ir at (0.000, 0.000, 0.500) and Pt at (0.250, 0.250, 0.250).

---

Order from most stable to least stable according to the calculation: ii, i, iii